Computed, not measured: a geometry-optimized GdThAlAg structure at the PBE-GGA level of DFT. Values from VASP.

```
&SYSTEM
  ibrav = 0, nat = 4, ntyp = 4
/
ATOMIC_SPECIES
Gd 157.25 Gd.upf
Th 232.04 Th.upf
Al 26.98 Al.upf
Ag 107.87 Ag.upf
CELL_PARAMETERS angstrom
5.256 0.000 0.000
2.628 4.552 0.000
2.628 1.517 4.292
ATOMIC_POSITIONS crystal
Gd 0.500 0.500 0.500
Th 0.000 0.000 0.000
Al 0.750 0.750 0.750
Ag 0.250 0.250 0.250
```

E_tot, eV/atom: -7.2328
N(E_F), states/eV per cell: 2.58